Entry from Alexandria: a geometry-optimized Mn2AlAsPb structure (GGA-PBE).

Cell lengths 4.596, 4.596, 4.732 Å; angles 90.00, 90.00, 90.00 degrees
Space group P4/mmm (No. 123)
Symmetry-distinct sites (fractional):
Mn1 0.000 0.500 0.000 (multiplicity 2)
Al1 0.000 0.000 0.000 (multiplicity 1)
As1 0.000 0.000 0.500 (multiplicity 1)
Pb1 0.500 0.500 0.500 (multiplicity 1)

Computed properties:
ρ: 6.96 Mg/m³
Energy relative to the elements: 27.788 kcal/mol of atoms
Calculated volume: 100 Å³ per cell